(1)
# Li4YSn2 PBE relaxed
data_Li4YSn2
_chemical_formula_sum 'Li8 Y2 Sn4'
_cell_length_a 7.917
_cell_length_b 7.917
_cell_length_c 4.630
_cell_angle_alpha 90.00
_cell_angle_beta 90.00
_cell_angle_gamma 90.00
_symmetry_space_group_name_H-M 'P 42/m n m'
_symmetry_Int_Tables_number 136
_symmetry_space_group_name_Hall '-P 4n 2n'
loop_
_atom_site_label
_atom_site_type_symbol
_atom_site_fract_x
_atom_site_fract_y
_atom_site_fract_z
Li1 Li 0.110 0.358 0.000
Y1 Y 0.000 0.000 0.500
Sn1 Sn 0.208 0.792 0.000
# Volume   20.73 Å³/atom
# Magnetic moment   0.000 μB/atom
# Energy relative to the elements   -470 meV/atom
# Total energy   -3.630 eV per atom



(2)
# Ba2CdAgMo PBE relaxed
data_Ba2CdAgMo
_chemical_formula_sum 'Ba2 Cd1 Ag1 Mo1'
_cell_length_a 6.485
_cell_length_b 6.485
_cell_length_c 5.180
_cell_angle_alpha 90.00
_cell_angle_beta 90.00
_cell_angle_gamma 90.00
_symmetry_space_group_name_H-M 'P 4/m m m'
_symmetry_Int_Tables_number 123
_symmetry_space_group_name_Hall '-P 4 2'
loop_
_atom_site_label
_atom_site_type_symbol
_atom_site_fract_x
_atom_site_fract_y
_atom_site_fract_z
Ba1 Ba 0.000 0.500 0.000
Cd1 Cd 0.000 0.000 0.000
Ag1 Ag 0.000 0.000 0.500
Mo1 Mo 0.500 0.500 0.500
# Volume   43.57 Å³/atom
# Magnetic moment   0.944 μB/atom
# Energy relative to the elements   923 meV/atom
# Total energy   -2.766 eV per atom